[1]
{
  "formula": "Y2Br2N",
  "functional": "PBE",
  "state": "relaxed",
  "lattice": [[3.615, 0.000, 0.675], [1.757, 3.172, 0.607], [-0.189, -0.127, 11.030]],
  "species": ["Y", "Y", "N", "Br", "Br"],
  "fractional_positions": [[0.289, 0.803, 0.619], [0.711, 0.197, 0.381], [0.000, 0.500, 0.500], [0.555, 0.090, 0.799], [0.445, 0.910, 0.201]],
  "e_form_raw_ev_per_atom": -1.73
}

[2]
{
  "formula": "Tl3CdIn3Hg2",
  "functional": "PBE",
  "state": "relaxed",
  "lattice": [[-1.670, -1.903, -2.753], [7.868, -2.955, -2.731], [-4.614, -4.594, 5.975]],
  "species": ["In", "In", "In", "Tl", "Tl", "Tl", "Cd", "Hg", "Hg"],
  "fractional_positions": [[0.000, 0.616, 0.616], [0.000, 0.000, 0.384], [0.000, 0.384, 0.000], [0.500, 0.714, 0.000], [0.500, 0.000, 0.714], [0.500, 0.286, 0.286], [0.000, 0.000, 0.000], [0.500, 0.667, 0.333], [0.500, 0.333, 0.667]],
  "formation_enthalpy_0k_ev_per_atom": 0.0346
}

[3]
{
  "formula": "Be2Se",
  "functional": "PBE",
  "state": "relaxed",
  "lattice": [[3.407, 0.000, 0.000], [0.000, 3.407, 0.000], [0.000, 0.000, 3.510]],
  "species": ["Se", "Be", "Be"],
  "fractional_positions": [[0.000, 0.000, 0.000], [0.000, 0.500, 0.500], [0.500, 0.000, 0.500]],
  "relative_energy_mev_per_atom": 582,
  "e_form_raw_ev_per_atom": 0.29
}

> Number 1 is which compound?

Y2Br2N